A plane-wave DFT calculation with PBE was carried out for an optimized crystal structure of YGa3NiGe.

Values from the calculation:
- size of the total moment (μB/cell) = 0.000
- symmetry = No. 107
- ΔE_f (eV per atom) = -0.508
- crystal system = tetragonal

Cell lengths 12.4254, 12.4254, 12.4254 Å; angles 160.46, 160.46, 27.77 degrees
With the nearest neighbours (Å) after each atom.
Fractional positions:
Y (0.8465, 0.8465, 0.0000)  4 Ge 3.07, 8 Ga 3.20-3.32, 4 Ni 3.35
Y (0.1442, 0.1442, 0.0000)  4 Ge 2.98, 8 Ga 3.01-3.13
Ni (0.0004, 0.0004, 0.0000)  8 Ga 2.48-2.49
Ni (0.2830, 0.2830, 0.0000)  1 Ge 2.27, 4 Ga 2.35
Ge (0.6489, 0.6489, 0.0000)  4 Y 2.98, 8 Ga 3.05-3.10
Ge (0.3770, 0.3770, 0.0000)  1 Ni 2.27
Ga (0.7403, 0.2403, 0.5000)  2 Ni 2.35
Ga (0.2403, 0.7403, 0.5000)  2 Ni 2.35
Ga (0.9463, 0.4463, 0.5000)  2 Ni 2.48, 1 Ga 2.62, 2 Ge 2.69
Ga (0.4463, 0.9463, 0.5000)  2 Ni 2.48, 1 Ga 2.62, 2 Ge 2.69
Ga (0.0550, 0.5550, 0.5000)  2 Ni 2.49, 1 Ga 2.62
Ga (0.5550, 0.0550, 0.5000)  2 Ni 2.49, 1 Ga 2.62